# KCd2In2Ag2 (PBE-GGA, relaxed)
# Calculated formation energy, eV per atom: -0.03
data_KCd2In2Ag2
_chemical_formula_sum 'K3 Cd6 In6 Ag6'
_cell_length_a 4.6869
_cell_length_b 4.6869
_cell_length_c 30.5444
_cell_angle_alpha 90.00
_cell_angle_beta 90.00
_cell_angle_gamma 120.00
_symmetry_space_group_name_H-M 'R -3 m'
_symmetry_Int_Tables_number 166
_symmetry_space_group_name_Hall '-R 3 2"'
loop_
_atom_site_label
_atom_site_type_symbol
_atom_site_fract_x
_atom_site_fract_y
_atom_site_fract_z
K1 K 0.0000 0.0000 0.0000
Cd1 Cd 0.0000 0.0000 0.1455
In1 In 0.0000 0.0000 0.2542
Ag1 Ag 0.0000 0.0000 0.4482